1.
{
  "formula": "SrZnSeO",
  "functional": "PBE",
  "state": "relaxed",
  "cell": [[3.956, 0.000, 0.000], [0.000, 12.903, 0.000], [0.000, 0.000, 5.982]],
  "species": ["Sr", "Sr", "Sr", "Sr", "Zn", "Zn", "Zn", "Zn", "Se", "Se", "Se", "Se", "O", "O", "O", "O"],
  "fractional_positions": [[0.000, 0.097, 0.250], [0.000, 0.903, 0.750], [0.500, 0.403, 0.750], [0.500, 0.597, 0.250], [0.000, 0.398, 0.250], [0.000, 0.602, 0.750], [0.500, 0.102, 0.750], [0.500, 0.898, 0.250], [0.000, 0.207, 0.750], [0.000, 0.793, 0.250], [0.500, 0.293, 0.250], [0.500, 0.707, 0.750], [0.000, 0.500, 0.000], [0.000, 0.500, 0.500], [0.500, 0.000, 0.000], [0.500, 0.000, 0.500]],
  "volume_a3_per_fu": 76.3,
  "energy_ev_per_atom": -4.5468
}



2.
{
  "formula": "NaSiAgTe3",
  "functional": "PBE",
  "state": "relaxed",
  "cell": [[1.848, -7.526, 0.000], [1.848, 7.526, 0.000], [0.000, 0.000, 11.437]],
  "species": ["Na", "Na", "Si", "Si", "Ag", "Ag", "Te", "Te", "Te", "Te", "Te", "Te"],
  "fractional_positions": [[0.228, 0.772, 0.750], [0.772, 0.228, 0.250], [0.500, 0.500, 0.000], [0.500, 0.500, 0.500], [0.105, 0.895, 0.250], [0.895, 0.105, 0.750], [0.136, 0.864, 0.018], [0.136, 0.864, 0.482], [0.454, 0.546, 0.250], [0.546, 0.454, 0.750], [0.864, 0.136, 0.518], [0.864, 0.136, 0.982]],
  "volume_a3_per_fu": 159.1,
  "energy_ev_per_atom": -3.3146
}



3.
{
  "formula": "CuAg2Au2",
  "functional": "PBE",
  "state": "relaxed",
  "cell": [[3.820, 0.000, 0.000], [0.000, 3.820, 0.000], [0.000, 0.000, 13.158]],
  "species": ["Cu", "Cu", "Ag", "Ag", "Ag", "Ag", "Au", "Au", "Au", "Au"],
  "fractional_positions": [[0.000, 0.000, 0.000], [0.500, 0.500, 0.500], [0.000, 0.500, 0.250], [0.000, 0.500, 0.750], [0.500, 0.000, 0.250], [0.500, 0.000, 0.750], [0.000, 0.000, 0.403], [0.000, 0.000, 0.597], [0.500, 0.500, 0.097], [0.500, 0.500, 0.903]],
  "volume_a3_per_fu": 96.0,
  "energy_ev_per_atom": -2.8726
}



4.
{
  "formula": "BaAlGeAu2",
  "functional": "PBE",
  "state": "relaxed",
  "cell": [[4.614, 0.000, 0.000], [0.000, 4.614, 0.000], [0.000, 0.000, 10.953]],
  "species": ["Ba", "Ba", "Al", "Al", "Ge", "Ge", "Au", "Au", "Au", "Au"],
  "fractional_positions": [[0.250, 0.250, 0.244], [0.750, 0.750, 0.756], [0.250, 0.750, 0.500], [0.750, 0.250, 0.500], [0.250, 0.250, 0.871], [0.750, 0.750, 0.129], [0.250, 0.250, 0.619], [0.250, 0.750, 0.000], [0.750, 0.250, 0.000], [0.750, 0.750, 0.381]],
  "volume_a3_per_fu": 116.6,
  "energy_ev_per_atom": -3.9292
}



5.
{
  "formula": "Pr2AgHg3",
  "functional": "PBE",
  "state": "relaxed",
  "cell": [[0.000, 5.021, 8.698], [3.509, 0.000, 8.698], [3.509, 5.021, 0.000]],
  "species": ["Pr", "Pr", "Pr", "Pr", "Ag", "Ag", "Hg", "Hg", "Hg", "Hg", "Hg", "Hg"],
  "fractional_positions": [[0.249, 0.751, 0.751], [0.250, 0.250, 0.250], [0.750, 0.750, 0.750], [0.751, 0.249, 0.249], [0.167, 0.167, 0.833], [0.833, 0.833, 0.167], [0.161, 0.670, 0.330], [0.330, 0.839, 0.161], [0.331, 0.331, 0.669], [0.669, 0.669, 0.331], [0.670, 0.161, 0.839], [0.839, 0.330, 0.670]],
  "volume_a3_per_fu": 153.3,
  "energy_ev_per_atom": -2.6319
}



6.
{
  "formula": "Y2TmIn3AgPd2",
  "functional": "PBE",
  "state": "relaxed",
  "cell": [[3.767, 0.000, 0.000], [0.000, 6.770, 3.921], [0.000, -6.770, 3.921]],
  "species": ["Y", "Y", "Tm", "In", "In", "In", "Ag", "Pd", "Pd"],
  "fractional_positions": [[0.000, 0.204, 0.796], [0.000, 0.796, 0.204], [0.000, 0.613, 0.613], [0.500, 0.205, 0.474], [0.500, 0.474, 0.205], [0.500, 0.934, 0.934], [0.000, 0.205, 0.205], [0.500, 0.538, 0.867], [0.500, 0.867, 0.538]],
  "volume_a3_per_fu": 200.0,
  "energy_ev_per_atom": -5.0057
}



7.
{
  "formula": "Hf31SiO64",
  "functional": "PBE",
  "state": "relaxed",
  "cell": [[9.958, 0.000, 0.000], [-0.113, 10.079, 0.000], [-0.024, -0.025, 10.389]],
  "species": ["Hf", "Hf", "Hf", "Hf", "Hf", "Hf", "Hf", "Hf", "Hf", "Hf", "Hf", "Hf", "Hf", "Hf", "Hf", "Hf", "Hf", "Hf", "Hf", "Hf", "Hf", "Hf", "Hf", "Hf", "Hf", "Hf", "Hf", "Hf", "Hf", "Hf", "Hf", "Si", "O", "O", "O", "O", "O", "O", "O", "O", "O", "O", "O", "O", "O", "O", "O", "O", "O", "O", "O", "O", "O", "O", "O", "O", "O", "O", "O", "O", "O", "O", "O", "O", "O", "O", "O", "O", "O", "O", "O", "O", "O", "O", "O", "O", "O", "O", "O", "O", "O", "O", "O", "O", "O", "O", "O", "O", "O", "O", "O", "O", "O", "O", "O", "O"],
  "fractional_positions": [[0.000, 0.000, 0.000], [0.000, 0.250, 0.286], [0.000, 0.500, 0.502], [0.002, 0.504, 0.002], [0.005, 0.752, 0.282], [0.006, 0.753, 0.792], [0.225, 0.993, 0.243], [0.227, 0.996, 0.753], [0.228, 0.746, 0.537], [0.230, 0.243, 0.536], [0.231, 0.249, 0.035], [0.232, 0.494, 0.254], [0.234, 0.496, 0.752], [0.494, 0.740, 0.784], [0.494, 0.991, 0.003], [0.496, 0.742, 0.283], [0.496, 0.993, 0.499], [0.499, 0.242, 0.285], [0.500, 0.242, 0.785], [0.502, 0.493, 0.501], [0.512, 0.490, 0.998], [0.725, 0.997, 0.751], [0.728, 0.997, 0.251], [0.730, 0.247, 0.536], [0.732, 0.245, 0.036], [0.733, 0.498, 0.251], [0.733, 0.750, 0.034], [0.734, 0.750, 0.535], [0.735, 0.501, 0.749], [0.999, 0.252, 0.785], [0.999, 0.998, 0.500], [0.262, 0.702, 0.042], [0.075, 0.884, 0.146], [0.089, 0.121, 0.648], [0.089, 0.871, 0.636], [0.093, 0.379, 0.140], [0.094, 0.129, 0.146], [0.094, 0.372, 0.638], [0.094, 0.621, 0.657], [0.116, 0.635, 0.137], [0.131, 0.885, 0.895], [0.137, 0.122, 0.384], [0.138, 0.622, 0.386], [0.139, 0.131, 0.886], [0.139, 0.873, 0.398], [0.140, 0.374, 0.400], [0.140, 0.381, 0.900], [0.164, 0.637, 0.902], [0.315, 0.791, 0.185], [0.323, 0.058, 0.579], [0.323, 0.061, 0.079], [0.325, 0.810, 0.703], [0.326, 0.308, 0.706], [0.326, 0.311, 0.205], [0.327, 0.560, 0.580], [0.334, 0.554, 0.078], [0.385, 0.787, 0.957], [0.399, 0.808, 0.447], [0.404, 0.054, 0.328], [0.404, 0.055, 0.832], [0.405, 0.307, 0.455], [0.408, 0.555, 0.330], [0.409, 0.306, 0.955], [0.414, 0.549, 0.828], [0.587, 0.870, 0.147], [0.589, 0.122, 0.637], [0.589, 0.870, 0.647], [0.590, 0.120, 0.137], [0.593, 0.372, 0.648], [0.594, 0.623, 0.637], [0.595, 0.370, 0.149], [0.596, 0.622, 0.136], [0.624, 0.866, 0.889], [0.635, 0.869, 0.386], [0.636, 0.117, 0.900], [0.637, 0.119, 0.399], [0.639, 0.621, 0.396], [0.640, 0.370, 0.387], [0.644, 0.620, 0.897], [0.645, 0.368, 0.886], [0.819, 0.936, 0.080], [0.823, 0.937, 0.582], [0.824, 0.184, 0.706], [0.825, 0.182, 0.205], [0.827, 0.433, 0.581], [0.829, 0.433, 0.081], [0.829, 0.686, 0.704], [0.833, 0.680, 0.200], [0.894, 0.929, 0.835], [0.900, 0.931, 0.334], [0.905, 0.185, 0.455], [0.905, 0.186, 0.954], [0.907, 0.435, 0.332], [0.908, 0.685, 0.455], [0.909, 0.684, 0.955], [0.910, 0.440, 0.831]],
  "volume_a3_per_fu": 1042.7,
  "de_polymorph_ev_per_atom": 0.0275,
  "energy_ev_per_atom": -10.0516
}



8.
{
  "formula": "K2Nd2DyMg3Cd",
  "functional": "PBE",
  "state": "relaxed",
  "cell": [[4.892, 0.000, 0.000], [0.000, 7.107, 4.159], [0.000, -7.107, 4.159]],
  "species": ["K", "K", "Nd", "Nd", "Dy", "Mg", "Mg", "Mg", "Cd"],
  "fractional_positions": [[0.000, 0.167, 0.833], [0.000, 0.833, 0.167], [0.500, 0.123, 0.496], [0.500, 0.496, 0.123], [0.500, 0.882, 0.882], [0.000, 0.291, 0.291], [0.000, 0.506, 0.721], [0.000, 0.721, 0.506], [0.500, 0.513, 0.513]],
  "volume_a3_per_fu": 289.2,
  "energy_ev_per_atom": -2.0656
}



9.
{
  "formula": "DyTm2Cu4Si2Ge2",
  "functional": "PBE",
  "state": "relaxed",
  "cell": [[-2.068, 3.286, 6.845], [2.068, -3.286, 6.845], [2.068, 3.286, -6.845]],
  "species": ["Dy", "Tm", "Tm", "Cu", "Cu", "Cu", "Cu", "Si", "Si", "Ge", "Ge"],
  "fractional_positions": [[0.000, 0.000, 0.000], [0.371, 0.871, 0.500], [0.629, 0.129, 0.500], [0.027, 0.336, 0.691], [0.355, 0.664, 0.691], [0.645, 0.336, 0.309], [0.973, 0.664, 0.309], [0.317, 0.500, 0.817], [0.683, 0.500, 0.183], [0.218, 0.218, 0.000], [0.782, 0.782, 0.000]],
  "volume_a3_per_fu": 186.1,
  "de_polymorph_ev_per_atom": 0.0097,
  "energy_ev_per_atom": -5.0411
}



10.
{
  "formula": "LuCuGeTe3",
  "functional": "PBE",
  "state": "relaxed",
  "cell": [[12.037, 0.000, 0.000], [0.000, 4.296, 0.000], [0.000, 0.000, 12.195]],
  "species": ["Lu", "Lu", "Lu", "Lu", "Cu", "Cu", "Cu", "Cu", "Ge", "Ge", "Ge", "Ge", "Te", "Te", "Te", "Te", "Te", "Te", "Te", "Te", "Te", "Te", "Te", "Te"],
  "fractional_positions": [[0.021, 0.250, 0.187], [0.479, 0.750, 0.687], [0.521, 0.250, 0.313], [0.979, 0.750, 0.813], [0.239, 0.750, 0.295], [0.261, 0.250, 0.795], [0.739, 0.750, 0.205], [0.761, 0.250, 0.705], [0.171, 0.250, 0.503], [0.329, 0.750, 0.003], [0.671, 0.250, 0.997], [0.829, 0.750, 0.497], [0.039, 0.750, 0.374], [0.103, 0.250, 0.937], [0.216, 0.750, 0.678], [0.284, 0.250, 0.178], [0.397, 0.750, 0.437], [0.461, 0.250, 0.874], [0.539, 0.750, 0.126], [0.603, 0.250, 0.563], [0.716, 0.750, 0.822], [0.784, 0.250, 0.322], [0.897, 0.750, 0.063], [0.961, 0.250, 0.626]],
  "volume_a3_per_fu": 157.7,
  "de_polymorph_ev_per_atom": 0.0636,
  "energy_ev_per_atom": -4.1801
}